An optimized crystal structure of CsPtAu3S4, computed with GGA-PBE.

The structure in CIF format:
```
data_CsPtAu3S4
_cell_length_a 6.3655
_cell_length_b 6.3655
_cell_length_c 6.3655
_cell_angle_alpha 90.00
_cell_angle_beta 90.00
_cell_angle_gamma 90.00
_space_group_name_H-M_alt 'P -4 3 m'
_space_group_IT_number 215
_space_group_name_Hall 'P -4 2 3'
loop_
_atom_site_label
_atom_site_type_symbol
_atom_site_fract_x
_atom_site_fract_y
_atom_site_fract_z
Cs1 Cs 0.0000 0.0000 0.0000
Pt1 Pt 0.5000 0.5000 0.5000
Au1 Au 0.0000 0.5000 0.5000
S1 S 0.2905 0.2905 0.2905
```

**Electronic total energy**: -3.609 eV/atom
**Crystal system**: cubic



An optimized crystal structure of CsTe2PtAuS, computed with GGA-PBE.

The structure in CIF format:
```
data_CsTe2PtAuS
_cell_length_a 4.2684
_cell_length_b 14.3525
_cell_length_c 12.1338
_cell_angle_alpha 90.00
_cell_angle_beta 90.00
_cell_angle_gamma 90.00
_space_group_name_H-M_alt 'C m c m'
_space_group_IT_number 63
_space_group_name_Hall '-C 2c 2'
loop_
_atom_site_label
_atom_site_type_symbol
_atom_site_fract_x
_atom_site_fract_y
_atom_site_fract_z
Cs1 Cs 0.0000 0.2178 0.2500
Te1 Te 0.0000 0.1131 0.5320
Pt1 Pt 0.0000 0.5000 0.0000
Au1 Au 0.0000 0.0668 0.7500
S1 S 0.0000 0.4906 0.7500
```

**Electronic total energy**: -3.719 eV/atom
**Crystal system**: orthorhombic



An optimized crystal structure of CsTe2PtAuSe, computed with GGA-PBE.

The structure in CIF format:
```
data_CsTe2PtAuSe
_cell_length_a 4.1127
_cell_length_b 16.7772
_cell_length_c 11.2098
_cell_angle_alpha 90.00
_cell_angle_beta 90.00
_cell_angle_gamma 90.00
_space_group_name_H-M_alt 'C m c m'
_space_group_IT_number 63
_space_group_name_Hall '-C 2c 2'
loop_
_atom_site_label
_atom_site_type_symbol
_atom_site_fract_x
_atom_site_fract_y
_atom_site_fract_z
Cs1 Cs 0.0000 0.2400 0.2500
Te1 Te 0.0000 0.1030 0.5161
Pt1 Pt 0.0000 0.5000 0.0000
Au1 Au 0.0000 0.0791 0.7500
Se1 Se 0.0000 0.4698 0.7500
```

**Electronic total energy**: -3.662 eV/atom
**Crystal system**: orthorhombic



An optimized crystal structure of CsTePtAuSe2, computed with GGA-PBE.

The structure in CIF format:
```
data_CsTePtAuSe2
_cell_length_a 3.7863
_cell_length_b 17.3858
_cell_length_c 11.0783
_cell_angle_alpha 90.00
_cell_angle_beta 90.00
_cell_angle_gamma 90.00
_space_group_name_H-M_alt 'C m c m'
_space_group_IT_number 63
_space_group_name_Hall '-C 2c 2'
loop_
_atom_site_label
_atom_site_type_symbol
_atom_site_fract_x
_atom_site_fract_y
_atom_site_fract_z
Cs1 Cs 0.0000 0.2324 0.2500
Te1 Te 0.0000 0.4565 0.7500
Pt1 Pt 0.0000 0.5000 0.0000
Au1 Au 0.0000 0.0967 0.7500
Se1 Se 0.0000 0.0958 0.5250
```

**Electronic total energy**: -3.775 eV/atom
**Crystal system**: orthorhombic



An optimized crystal structure of CsTePtAu, computed with GGA-PBE.

The structure in CIF format:
```
data_CsTePtAu
_cell_length_a 7.4710
_cell_length_b 7.4710
_cell_length_c 7.4710
_cell_angle_alpha 90.00
_cell_angle_beta 90.00
_cell_angle_gamma 90.00
_space_group_name_H-M_alt 'F -4 3 m'
_space_group_IT_number 216
_space_group_name_Hall 'F -4 2 3'
loop_
_atom_site_label
_atom_site_type_symbol
_atom_site_fract_x
_atom_site_fract_y
_atom_site_fract_z
Cs1 Cs 0.0000 0.0000 0.0000
Te1 Te 0.0000 0.0000 0.5000
Pt1 Pt 0.2500 0.2500 0.2500
Au1 Au 0.2500 0.2500 0.7500
```

**Electronic total energy**: -2.898 eV/atom
**Crystal system**: cubic



An optimized crystal structure of CsTe4PtAu3, computed with GGA-PBE.

The structure in CIF format:
```
data_CsTe4PtAu3
_cell_length_a 6.8894
_cell_length_b 6.8894
_cell_length_c 6.8894
_cell_angle_alpha 90.00
_cell_angle_beta 90.00
_cell_angle_gamma 90.00
_space_group_name_H-M_alt 'P -4 3 m'
_space_group_IT_number 215
_space_group_name_Hall 'P -4 2 3'
loop_
_atom_site_label
_atom_site_type_symbol
_atom_site_fract_x
_atom_site_fract_y
_atom_site_fract_z
Cs1 Cs 0.0000 0.0000 0.0000
Te1 Te 0.2857 0.2857 0.2857
Pt1 Pt 0.5000 0.5000 0.5000
Au1 Au 0.0000 0.5000 0.5000
```

**Electronic total energy**: -3.295 eV/atom
**Crystal system**: cubic



An optimized crystal structure of CsTePtAu, computed with GGA-PBE.

The structure in CIF format:
```
data_CsTePtAu
_cell_length_a 7.5080
_cell_length_b 7.5080
_cell_length_c 7.5080
_cell_angle_alpha 90.00
_cell_angle_beta 90.00
_cell_angle_gamma 90.00
_space_group_name_H-M_alt 'F -4 3 m'
_space_group_IT_number 216
_space_group_name_Hall 'F -4 2 3'
loop_
_atom_site_label
_atom_site_type_symbol
_atom_site_fract_x
_atom_site_fract_y
_atom_site_fract_z
Cs1 Cs 0.0000 0.0000 0.0000
Te1 Te 0.2500 0.2500 0.2500
Pt1 Pt 0.2500 0.2500 0.7500
Au1 Au 0.0000 0.0000 0.5000
```

**Electronic total energy**: -2.718 eV/atom
**Crystal system**: cubic



An optimized crystal structure of CsTePtAu, computed with GGA-PBE.

The structure in CIF format:
```
data_CsTePtAu
_cell_length_a 7.4857
_cell_length_b 7.4857
_cell_length_c 7.4857
_cell_angle_alpha 90.00
_cell_angle_beta 90.00
_cell_angle_gamma 90.00
_space_group_name_H-M_alt 'F -4 3 m'
_space_group_IT_number 216
_space_group_name_Hall 'F -4 2 3'
loop_
_atom_site_label
_atom_site_type_symbol
_atom_site_fract_x
_atom_site_fract_y
_atom_site_fract_z
Cs1 Cs 0.0000 0.0000 0.0000
Te1 Te 0.2500 0.2500 0.7500
Pt1 Pt 0.0000 0.0000 0.5000
Au1 Au 0.2500 0.2500 0.2500
```

**Electronic total energy**: -2.851 eV/atom
**Crystal system**: cubic



An optimized crystal structure of CsRb2Au2, computed with GGA-PBE.

The structure in CIF format:
```
data_CsRb2Au2
_cell_length_a 5.4677
_cell_length_b 5.4677
_cell_length_c 14.5689
_cell_angle_alpha 90.00
_cell_angle_beta 90.00
_cell_angle_gamma 90.00
_space_group_name_H-M_alt 'I 4/m m m'
_space_group_IT_number 139
_space_group_name_Hall '-I 4 2'
loop_
_atom_site_label
_atom_site_type_symbol
_atom_site_fract_x
_atom_site_fract_y
_atom_site_fract_z
Cs1 Cs 0.0000 0.0000 0.0000
Rb1 Rb 0.0000 0.5000 0.2500
Au1 Au 0.0000 0.0000 0.4037
```

**Electronic total energy**: -2.079 eV/atom
**Crystal system**: tetragonal



An optimized crystal structure of CsRbAu, computed with GGA-PBE.

The structure in CIF format:
```
data_CsRbAu
_cell_length_a 8.5634
_cell_length_b 8.5634
_cell_length_c 8.5634
_cell_angle_alpha 90.00
_cell_angle_beta 90.00
_cell_angle_gamma 90.00
_space_group_name_H-M_alt 'F -4 3 m'
_space_group_IT_number 216
_space_group_name_Hall 'F -4 2 3'
loop_
_atom_site_label
_atom_site_type_symbol
_atom_site_fract_x
_atom_site_fract_y
_atom_site_fract_z
Cs1 Cs 0.0000 0.0000 0.0000
Rb1 Rb 0.0000 0.0000 0.5000
Au1 Au 0.2500 0.2500 0.2500
```

**Electronic total energy**: -1.880 eV/atom
**Crystal system**: cubic



An optimized crystal structure of CsRb2Au7, computed with GGA-PBE.

The structure in CIF format:
```
data_CsRb2Au7
_cell_length_a 5.7411
_cell_length_b 13.6476
_cell_length_c 7.3355
_cell_angle_alpha 90.00
_cell_angle_beta 90.00
_cell_angle_gamma 90.00
_space_group_name_H-M_alt 'C m m m'
_space_group_IT_number 65
_space_group_name_Hall '-C 2 2'
loop_
_atom_site_label
_atom_site_type_symbol
_atom_site_fract_x
_atom_site_fract_y
_atom_site_fract_z
Cs1 Cs 0.0000 0.0000 0.0000
Rb1 Rb 0.0000 0.1624 0.5000
Au1 Au 0.0000 0.3895 0.1999
Au2 Au 0.0000 0.5000 0.5000
Au3 Au 0.2500 0.2500 0.0000
```

**Electronic total energy**: -2.838 eV/atom
**Crystal system**: orthorhombic



An optimized crystal structure of CsRbAu, computed with GGA-PBE.

The structure in CIF format:
```
data_CsRbAu
_cell_length_a 8.5113
_cell_length_b 8.5113
_cell_length_c 8.5113
_cell_angle_alpha 90.00
_cell_angle_beta 90.00
_cell_angle_gamma 90.00
_space_group_name_H-M_alt 'F -4 3 m'
_space_group_IT_number 216
_space_group_name_Hall 'F -4 2 3'
loop_
_atom_site_label
_atom_site_type_symbol
_atom_site_fract_x
_atom_site_fract_y
_atom_site_fract_z
Cs1 Cs 0.0000 0.0000 0.0000
Rb1 Rb 0.2500 0.2500 0.2500
Au1 Au 0.2500 0.2500 0.7500
```

**Electronic total energy**: -1.638 eV/atom
**Crystal system**: cubic